Entry 1:
! Nd2Ge2BRu2 (PBE-GGA, optimized geometry); values from VASP
&SYSTEM
  ibrav = 0, nat = 7, ntyp = 4
/
ATOMIC_SPECIES
Nd 144.24 Nd.upf
Ge 72.64 Ge.upf
B 10.81 B.upf
Ru 101.07 Ru.upf
ATOMIC_POSITIONS angstrom
Nd 4.315 2.085 3.707
Nd 4.315 5.111 1.176
Ge 2.158 2.625 1.335
Ge 6.473 4.571 3.547
B 0.000 0.000 0.000
Ru 4.315 5.271 4.507
Ru 4.315 1.924 0.375
CELL_PARAMETERS angstrom
4.315 0.000 0.000
2.158 5.633 -0.533
2.158 1.563 5.415
! Calculated total energy ... -6.985 eV/atom
! Spin magnetization ... 0.000 μB per atom
! ρ ... 7.94 g/cm³


Entry 2:
! Ce2InGe4Pt3 (PBE-GGA, optimized geometry); values from VASP
&SYSTEM
  ibrav = 0, nat = 10, ntyp = 4
/
ATOMIC_SPECIES
Ce 140.12 Ce.upf
In 114.82 In.upf
Ge 72.64 Ge.upf
Pt 195.08 Pt.upf
ATOMIC_POSITIONS angstrom
Ce 1.723 -2.740 0.811
Ce 8.076 -2.310 0.423
In 4.915 -3.677 -0.399
Ge 0.032 -2.303 -2.032
Ge 0.000 0.000 0.000
Ge 5.749 -3.873 2.158
Ge 4.049 -1.177 -0.923
Pt 4.883 -1.374 1.633
Pt 7.985 -4.503 2.906
Pt 1.813 -0.548 -1.671
CELL_PARAMETERS angstrom
-1.198 -4.174 0.070
1.261 -0.431 -4.134
9.766 -2.748 3.267
! Calculated total energy ... -5.888 eV/atom
! Spin magnetization ... 0.140 μB per atom
! ρ ... 10.50 g/cm³


Entry 3:
! Ac3Zn2 (PBE-GGA, optimized geometry); values from VASP
&SYSTEM
  ibrav = 0, nat = 10, ntyp = 2
/
ATOMIC_SPECIES
Ac 227.00 Ac.upf
Zn 65.41 Zn.upf
ATOMIC_POSITIONS angstrom
Ac 0.000 0.000 18.445
Ac 0.000 0.000 2.911
Ac 0.000 0.000 6.794
Ac 0.000 0.000 10.678
Ac 0.000 0.000 14.562
Ac 1.964 1.964 0.000
Zn 1.964 1.964 4.830
Zn 1.964 1.964 8.731
Zn 1.964 1.964 12.625
Zn 1.964 1.964 16.526
CELL_PARAMETERS angstrom
3.927 0.000 0.000
0.000 3.927 0.000
0.000 0.000 21.356
! ΔE to the lowest computed polymorph ... 0.0000 eV per atom
! Spin magnetization ... 0.000 μB per atom
! ρ ... 8.18 g/cm³


Entry 4:
! Tm2TlS4 (PBE-GGA, optimized geometry); values from VASP
&SYSTEM
  ibrav = 0, nat = 14, ntyp = 3
/
ATOMIC_SPECIES
Tm 168.93 Tm.upf
Tl 204.38 Tl.upf
S 32.06 S.upf
ATOMIC_POSITIONS angstrom
Tm -0.598 4.658 -0.715
Tm -7.125 2.153 -0.093
Tm -3.597 2.301 -2.083
Tm 1.363 3.671 2.691
Tl -3.273 2.628 2.648
Tl 2.077 6.689 -4.078
S -2.690 2.968 -4.552
S -4.505 1.634 0.387
S -3.159 4.932 -1.573
S -0.027 5.063 -3.338
S -0.948 2.092 -1.529
S 1.963 4.385 0.142
S -1.169 4.253 1.907
S -6.247 2.511 -2.636
CELL_PARAMETERS angstrom
-3.922 1.975 -6.814
-7.056 -0.297 3.979
5.999 4.714 2.734
! Calculated total energy ... -5.497 eV/atom
! Spin magnetization ... 0.000 μB per atom
! ρ ... 5.91 g/cm³


Entry 5:
! TeAsIr2 (PBE-GGA, optimized geometry); values from VASP
&SYSTEM
  ibrav = 0, nat = 4, ntyp = 3
/
ATOMIC_SPECIES
As 74.92 As.upf
Ir 192.22 Ir.upf
Te 127.60 Te.upf
ATOMIC_POSITIONS angstrom
As -2.811 0.129 0.398
Ir 0.000 0.000 0.000
Ir -1.352 -0.607 2.723
Te -1.193 -2.506 0.613
CELL_PARAMETERS angstrom
-2.652 -1.769 -1.711
0.267 -3.242 2.938
-2.970 2.028 2.507
! ΔE to the lowest computed polymorph ... 0.5536 eV per atom
! Spin magnetization ... 0.000 μB per atom
! ρ ... 14.02 g/cm³


Entry 6:
! SrPrTh (PBE-GGA, optimized geometry); values from VASP
&SYSTEM
  ibrav = 0, nat = 3, ntyp = 3
/
ATOMIC_SPECIES
Pr 140.91 Pr.upf
Sr 87.62 Sr.upf
Th 232.04 Th.upf
ATOMIC_POSITIONS angstrom
Pr 0.000 2.165 6.137
Sr 0.000 0.000 0.090
Th 1.875 1.082 3.311
CELL_PARAMETERS angstrom
3.749 0.000 0.000
-1.875 3.247 0.000
0.000 0.000 9.538
! ΔE to the lowest computed polymorph ... 0.0105 eV per atom
! Spin magnetization ... 0.000 μB per atom
! ρ ... 6.59 g/cm³